First-principles (PBE-GGA) data for a relaxed TiB2Rh4 crystal, as listed in the Alexandria database.

Computed properties:
crystal system	triclinic
E_form	-431	meV/atom

Cell lengths 5.1655, 5.6073, 6.9676 Å; angles 108.13, 105.67, 104.29 degrees
Atoms (fractional coordinates):
Ti: 0.0000 0.0000 0.0000
Ti: 0.2423 0.7405 0.4791
B: 0.0374 0.3767 0.5877
B: 0.4198 0.9204 0.2245
B: 0.4326 0.4321 0.2505
B: 0.6886 0.5277 0.8910
Rh: 0.0974 0.5361 0.0616
Rh: 0.2767 0.2143 0.4175
Rh: 0.3276 0.2081 0.8221
Rh: 0.3987 0.7392 0.8485
Rh: 0.7401 0.2488 0.2302
Rh: 0.7459 0.1267 0.6577
Rh: 0.7490 0.7589 0.2503
Rh: 0.7904 0.6313 0.6312

First-principles (PBE-GGA) data for a relaxed TiBRh2 crystal, as listed in the Alexandria database.

Computed properties:
crystal system	tetragonal
E_form	-285	meV/atom

Cell lengths 3.8970, 3.8970, 3.2986 Å; angles 90.00, 90.00, 90.00 degrees
Atoms (fractional coordinates):
Ti: 0.0000 0.0000 0.0000
B: 0.5000 0.5000 0.0000
Rh: 0.0000 0.5000 0.5000
Rh: 0.5000 0.0000 0.5000

First-principles (PBE-GGA) data for a relaxed Ti2BRh6 crystal, as listed in the Alexandria database.

Computed properties:
crystal system	cubic
polymorph energy (0 for the lowest one)	0	meV per atom
E_form	-682	meV/atom

Cell lengths 5.5902, 5.5902, 5.5902 Å; angles 60.00, 60.00, 60.00 degrees
Atoms (fractional coordinates):
Ti: 0.2500 0.2500 0.2500
Ti: 0.7500 0.7500 0.7500
B: 0.0000 0.0000 0.0000
Rh: 0.2582 0.2582 0.7418
Rh: 0.2582 0.7418 0.2582
Rh: 0.2582 0.7418 0.7418
Rh: 0.7418 0.2582 0.2582
Rh: 0.7418 0.2582 0.7418
Rh: 0.7418 0.7418 0.2582

First-principles (PBE-GGA) data for a relaxed TiB2Rh2 crystal, as listed in the Alexandria database.

Computed properties:
crystal system	tetragonal
polymorph energy (0 for the lowest one)	0	meV per atom
E_form	-511	meV/atom

Cell lengths 4.9282, 4.9282, 4.9282 Å; angles 135.60, 135.60, 64.61 degrees
Atoms (fractional coordinates):
Ti: 0.0000 0.0000 0.0000
B: 0.3936 0.3936 0.0000
B: 0.6064 0.6064 0.0000
Rh: 0.2500 0.7500 0.5000
Rh: 0.7500 0.2500 0.5000

First-principles (PBE-GGA) data for a relaxed TiB2Rh8 crystal, as listed in the Alexandria database.

Computed properties:
crystal system	monoclinic
E_form	-264	meV/atom

Cell lengths 6.1860, 6.1860, 4.1106 Å; angles 98.96, 98.96, 107.75 degrees
Atoms (fractional coordinates):
Ti: 0.0000 0.0000 0.0000
B: 0.3241 0.6759 0.5000
B: 0.6759 0.3241 0.5000
Rh: 0.0568 0.3219 0.5905
Rh: 0.2606 0.7394 0.0000
Rh: 0.3219 0.0568 0.5905
Rh: 0.3754 0.3754 0.1955
Rh: 0.6246 0.6246 0.8045
Rh: 0.6781 0.9432 0.4095
Rh: 0.7394 0.2606 0.0000
Rh: 0.9432 0.6781 0.4095

First-principles (PBE-GGA) data for a relaxed TiBRh4 crystal, as listed in the Alexandria database.

Computed properties:
crystal system	monoclinic
E_form	-400	meV/atom

Cell lengths 6.1659, 6.1659, 4.6939 Å; angles 100.69, 100.69, 109.76 degrees
Atoms (fractional coordinates):
Ti: 0.1176 0.8824 0.7500
Ti: 0.8824 0.1176 0.2500
B: 0.4961 0.5039 0.7500
B: 0.5039 0.4961 0.2500
Rh: 0.1213 0.3012 0.8585
Rh: 0.2261 0.5584 0.4422
Rh: 0.3012 0.1213 0.3585
Rh: 0.4416 0.7739 0.0578
Rh: 0.5584 0.2261 0.9422
Rh: 0.6988 0.8787 0.6415
Rh: 0.7739 0.4416 0.5578
Rh: 0.8787 0.6988 0.1415

Total energy, record by record: -7.668, -7.604, -8.080, -7.702, -7.542, -7.729 eV/atom